Entry 1:
Density functional theory data (PBEsol) for an optimized crystal structure of CaGe3Pd.

Output
total magnetization	0.00	μB/cell
calculated total energy	-3.2636	eV per atom
theoretical density	4.6	g/cm³
energy of formation from the pure elements	636	kJ/mol of formula units

Cell and atoms, written as POSCAR:
```
CaGe3Pd
1.0
5.103 0.000 0.000
0.000 5.103 0.000
0.000 0.000 5.103
Ca Ge Pd
1 3 1
Direct
0.000 0.000 0.000
0.000 0.000 0.500
0.000 0.500 0.000
0.500 0.000 0.000
0.500 0.500 0.500
```



Entry 2:
Density functional theory data (PBEsol) for an optimized crystal structure of LiIn2P.

Output
total magnetization	0.00	μB/cell
calculated total energy	-3.5715	eV per atom
theoretical density	5.3	g/cm³
energy of formation from the pure elements	-54	kJ/mol of formula units

Cell and atoms, written as POSCAR:
```
LiIn2P
1.0
-1.735 2.107 5.767
1.735 -2.107 5.767
1.735 2.107 -5.767
Li In P
1 2 1
Direct
0.000 0.000 0.000
0.316 0.816 0.500
0.684 0.184 0.500
0.500 0.500 0.000
```



Entry 3:
Density functional theory data (PBEsol) for an optimized crystal structure of Sc3SiTc.

Output
total magnetization	0.83	μB/cell
energy relative to the lowest polymorph listed for this composition	32.43	kJ per mole of atoms
calculated total energy	-6.7559	eV per atom
formation energy without anion corrections	0.61	eV per atom
theoretical density	3.8	g/cm³

Cell and atoms, written as POSCAR:
```
Sc3SiTc
1.0
4.858 0.000 0.000
0.000 4.858 0.000
0.000 0.000 4.858
Sc Si Tc
3 1 1
Direct
0.000 0.000 0.500
0.000 0.500 0.000
0.500 0.000 0.000
0.000 0.000 0.000
0.500 0.500 0.500
```



Entry 4:
Density functional theory data (PBEsol) for an optimized crystal structure of MnIn2AuS.

Output
total magnetization	4.94	μB/cell
calculated total energy	-4.3644	eV per atom
formation energy without anion corrections	0.44	eV per atom
theoretical density	6.6	g/cm³

Cell and atoms, written as POSCAR:
```
MnIn2AuS
1.0
5.122 0.000 0.000
0.000 5.122 0.000
0.000 0.000 4.959
Mn In Au S
1 2 1 1
Direct
0.000 0.000 0.000
0.000 0.500 0.500
0.500 0.000 0.500
0.000 0.000 0.500
0.500 0.500 0.000
```



Entry 5:
Density functional theory data (PBEsol) for an optimized crystal structure of Rb2TlSbBr6.

Output
total magnetization	0.00	μB/cell
calculated total energy	-3.1250	eV per atom
formation energy without anion corrections	-1.08	eV per atom
theoretical density	4.1	g/cm³

Cell and atoms, written as POSCAR:
```
Rb2TlSbBr6
1.0
0.000 5.804 5.804
5.804 0.000 5.804
5.804 5.804 0.000
Rb Tl Sb Br
2 1 1 6
Direct
0.250 0.250 0.250
0.750 0.750 0.750
0.000 0.000 0.000
0.500 0.500 0.500
0.261 0.261 0.739
0.261 0.739 0.261
0.261 0.739 0.739
0.739 0.261 0.261
0.739 0.261 0.739
0.739 0.739 0.261
```



Entry 6:
Density functional theory data (PBEsol) for an optimized crystal structure of KZrSb2.

Output
total magnetization	0.00	μB/cell
energy relative to the lowest polymorph listed for this composition	1.74	kJ per mole of atoms
calculated total energy	-5.3481	eV per atom
formation energy without anion corrections	-0.51	eV per atom
theoretical density	5.9	g/cm³

Cell and atoms, written as POSCAR:
```
KZrSb2
1.0
2.137 -2.600 0.000
2.137 2.600 0.000
0.000 0.000 9.419
K Zr Sb
1 1 2
Direct
0.000 0.000 0.000
0.000 0.000 0.500
0.500 0.500 0.286
0.500 0.500 0.714
```



Q: Which formula does entry 1 have?
A: CaGe3Pd



What did the second record say?
Density functional theory data (PBEsol) for an optimized crystal structure of LiIn2P.

Output
total magnetization	0.00	μB/cell
calculated total energy	-3.5715	eV per atom
theoretical density	5.3	g/cm³
energy of formation from the pure elements	-54	kJ/mol of formula units

Cell and atoms, written as POSCAR:
```
LiIn2P
1.0
-1.735 2.107 5.767
1.735 -2.107 5.767
1.735 2.107 -5.767
Li In P
1 2 1
Direct
0.000 0.000 0.000
0.316 0.816 0.500
0.684 0.184 0.500
0.500 0.500 0.000
```



Q: total magnetization of number 6 (KZrSb2)?
A: 0.00 μB/cell



Q: total magnetization of number 5 (Rb2TlSbBr6)?
A: 0.00 μB/cell